# 1
# Tm4CoRh3 PBE-GGA relaxed
# Calculated formation energy in eV/atom: -0.78
data_Tm4CoRh3
_chemical_formula_sum 'Tm4 Co1 Rh3'
_cell_length_a 3.334
_cell_length_b 3.334
_cell_length_c 13.619
_cell_angle_alpha 90.00
_cell_angle_beta 90.00
_cell_angle_gamma 90.00
_symmetry_space_group_name_H-M 'P 4/m m m'
_symmetry_Int_Tables_number 123
_symmetry_space_group_name_Hall '-P 4 2'
loop_
_atom_site_label
_atom_site_fract_x
_atom_site_fract_y
_atom_site_fract_z
_atom_site_occupancy
Tm1 0.000 0.000 0.120 1
Tm2 0.000 0.000 0.374 1
Co1 0.500 0.500 0.000 1
Rh1 0.500 0.500 0.248 1
Rh2 0.500 0.500 0.500 1

---

# 2
# Tm2CoRh PBE-GGA relaxed
# Calculated formation energy in eV/atom: -0.60
# E above lowest polymorph in meV per atom: 0
data_Tm2CoRh
_chemical_formula_sum 'Tm2 Co1 Rh1'
_cell_length_a 3.316
_cell_length_b 3.316
_cell_length_c 6.749
_cell_angle_alpha 90.00
_cell_angle_beta 90.00
_cell_angle_gamma 90.00
_symmetry_space_group_name_H-M 'P 4/m m m'
_symmetry_Int_Tables_number 123
_symmetry_space_group_name_Hall '-P 4 2'
loop_
_atom_site_label
_atom_site_fract_x
_atom_site_fract_y
_atom_site_fract_z
_atom_site_occupancy
Tm1 0.000 0.000 0.243 1
Co1 0.500 0.500 0.000 1
Rh1 0.500 0.500 0.500 1

---

# 3
# Tm4CoRh2 PBE-GGA relaxed
# Calculated formation energy in eV/atom: -0.63
data_Tm4CoRh2
_chemical_formula_sum 'Tm12 Co3 Rh6'
_cell_length_a 4.7109
_cell_length_b 4.7109
_cell_length_c 23.2692
_cell_angle_alpha 90.00
_cell_angle_beta 90.00
_cell_angle_gamma 120.00
_symmetry_space_group_name_H-M 'R -3 m'
_symmetry_Int_Tables_number 166
_symmetry_space_group_name_Hall '-R 3 2"'
loop_
_atom_site_label
_atom_site_fract_x
_atom_site_fract_y
_atom_site_fract_z
_atom_site_occupancy
Tm1 0.0000 0.0000 0.1238 1
Tm2 0.0000 0.0000 0.3745 1
Co1 0.0000 0.0000 0.0000 1
Rh1 0.0000 0.0000 0.2512 1

---

# 4
# Tm8CoRh2 PBE-GGA relaxed
# Calculated formation energy in eV/atom: -0.34
# E above lowest polymorph in meV per atom: 58
data_Tm8CoRh2
_chemical_formula_sum 'Tm16 Co2 Rh4'
_cell_length_a 8.147
_cell_length_b 12.382
_cell_length_c 5.882
_cell_angle_alpha 90.00
_cell_angle_beta 110.52
_cell_angle_gamma 90.00
_symmetry_space_group_name_H-M 'C 1 m 1'
_symmetry_Int_Tables_number 8
loop_
_symmetry_equiv_pos_as_xyz
'x,y,z'
'x,-y,z'
'x+1/2,y+1/2,z'
'x+1/2,-y+1/2,z'
loop_
_atom_site_label
_atom_site_fract_x
_atom_site_fract_y
_atom_site_fract_z
_atom_site_occupancy
Tm1 0.000 0.000 0.000 1
Tm2 0.058 0.372 0.791 1
Tm3 0.138 0.129 0.587 1
Tm4 0.207 0.500 0.362 1
Tm5 0.355 0.204 0.179 1
Co1 0.357 0.000 0.003 1
Rh1 0.346 0.312 0.684 1

---

# 5
# Tm5CoRh4 PBE-GGA relaxed
# Calculated formation energy in eV/atom: -0.82
data_Tm5CoRh4
_chemical_formula_sum 'Tm5 Co1 Rh4'
_cell_length_a 3.341
_cell_length_b 3.341
_cell_length_c 17.002
_cell_angle_alpha 90.00
_cell_angle_beta 90.00
_cell_angle_gamma 90.00
_symmetry_space_group_name_H-M 'P 4/m m m'
_symmetry_Int_Tables_number 123
_symmetry_space_group_name_Hall '-P 4 2'
loop_
_atom_site_label
_atom_site_fract_x
_atom_site_fract_y
_atom_site_fract_z
_atom_site_occupancy
Tm1 0.000 0.000 0.000 1
Tm2 0.000 0.000 0.202 1
Tm3 0.000 0.000 0.404 1
Co1 0.500 0.500 0.500 1
Rh1 0.500 0.500 0.101 1
Rh2 0.500 0.500 0.302 1

---

# 6
# Tm6CoRh3 PBE-GGA relaxed
# Calculated formation energy in eV/atom: -0.56
data_Tm6CoRh3
_chemical_formula_sum 'Tm12 Co2 Rh6'
_cell_length_a 7.714
_cell_length_b 12.283
_cell_length_c 4.651
_cell_angle_alpha 90.00
_cell_angle_beta 90.00
_cell_angle_gamma 90.00
_symmetry_space_group_name_H-M 'P n n m'
_symmetry_Int_Tables_number 58
loop_
_symmetry_equiv_pos_as_xyz
'x,y,z'
'-x,-y,-z'
'-x,-y,z'
'x,y,-z'
'x+1/2,-y+1/2,-z+1/2'
'-x+1/2,y+1/2,z+1/2'
'-x+1/2,y+1/2,-z+1/2'
'x+1/2,-y+1/2,z+1/2'
loop_
_atom_site_label
_atom_site_fract_x
_atom_site_fract_y
_atom_site_fract_z
_atom_site_occupancy
Tm1 0.008 0.233 0.000 1
Tm2 0.138 0.402 0.500 1
Tm3 0.188 0.074 0.500 1
Co1 0.000 0.500 0.000 1
Rh1 0.000 0.000 0.000 1
Rh2 0.164 0.841 0.500 1

---

Q: What is the calculated formation energy in the second record?
A: -0.60 eV/atom